[1]
Material: TbDyEr3Th
Method: DFT, PBE-GGA
State: optimized geometry

Lattice parameters (Å, degrees): 3.546 10.589 10.590 109.30 90.00 90.00
Positions (direct):
1 Tb 0.250 0.122 0.293
2 Tb 0.750 0.878 0.707
3 Dy 0.250 0.627 0.126
4 Dy 0.750 0.373 0.874
5 Er 0.750 0.873 0.041
6 Er 0.250 0.127 0.959
7 Er 0.250 0.626 0.458
8 Er 0.750 0.374 0.542
9 Er 0.750 0.376 0.209
10 Er 0.250 0.624 0.791
11 Th 0.250 0.126 0.623
12 Th 0.750 0.874 0.377

Results
The space-group type is P2_1/m (11). The formation energy comes out at 0.15 eV/f.u.

[2]
Material: FeBi3Cl
Method: DFT, PBE-GGA
State: optimized geometry

Lattice parameters (Å, degrees): 5.459 5.459 5.459 90.00 90.00 90.00
Positions (direct):
1 Cl 0.000 0.000 0.000
2 Bi 0.000 0.500 0.000
3 Bi 0.000 0.000 0.500
4 Bi 0.500 0.000 0.000
5 Fe 0.500 0.500 0.500

Results
The space-group type is Pm-3m (221). The energy relative to the elements, uncorrected is 1.107 eV per atom. Its distance to the lowest polymorph of the same formula is 78.7 kJ/mol of atoms.

[3]
Material: Ac2Cd2GePd4
Method: DFT, PBE-GGA
State: optimized geometry

Lattice parameters (Å, degrees): 6.517 6.517 6.517 98.21 115.38 115.38
Positions (direct):
1 Ac 0.500 0.750 0.250
2 Ac 0.500 0.250 0.750
3 Cd 0.000 0.671 0.671
4 Cd 0.000 0.329 0.329
5 Ge 0.000 0.000 0.000
6 Pd 0.000 0.748 0.252
7 Pd 0.495 0.748 0.748
8 Pd 0.000 0.252 0.748
9 Pd 0.505 0.252 0.252

Results
The space-group type is I4/mmm (139). The formation energy comes out at -5.06 eV/f.u.

| no. | E_tot (eV/atom) | calculated volume (Å³ per cell) | density (g/cm³) |
| --- | --- | --- | --- |
| 1 | -5.032 | 375.28 | 9.34 |
| 2 | -3.284 | 162.65 | 7.33 |
| 3 | -4.500 | 207.08 | 9.44 |